# 1
A plane-wave DFT calculation with GGA-PBE was carried out for a geometry-optimized TaIrPt structure.

extended XYZ file:
```
3
Lattice="0.000 3.053 3.053 3.053 0.000 3.053 3.053 3.053 0.000" Properties=species:S:1:pos:R:3 pbc="T T T"
Ta 0.000 0.000 0.000
Ir 4.579 4.579 4.579
Pt 3.053 3.053 3.053
```

## Properties
- ΔE to the lowest computed polymorph: 25.0 kJ per mole of atoms

=====

# 2
A plane-wave DFT calculation with GGA-PBE was carried out for a geometry-optimized BeCuSiMo structure.

extended XYZ file:
```
4
Lattice="0.000 2.890 2.890 2.890 0.000 2.890 2.890 2.890 0.000" Properties=species:S:1:pos:R:3 pbc="T T T"
Be 0.000 0.000 0.000
Cu 4.335 4.335 4.335
Si 2.890 2.890 2.890
Mo 1.445 1.445 1.445
```

## Properties
- ΔE to the lowest computed polymorph: 0.0 kJ per mole of atoms

=====

# 3
A plane-wave DFT calculation with GGA-PBE was carried out for a geometry-optimized SmHo2P3 structure.

extended XYZ file:
```
6
Lattice="4.026 0.000 0.000 -2.013 3.487 0.000 0.000 0.000 9.857" Properties=species:S:1:pos:R:3 pbc="T T T"
Sm 0.000 0.000 0.000
Ho 0.000 2.325 3.316
Ho 2.013 1.162 6.541
P 0.000 0.000 4.928
P 0.000 2.325 8.150
P 2.013 1.162 1.707
```

## Properties
- DFT total energy: -6.614 eV per atom

=====

# 4
A plane-wave DFT calculation with GGA-PBE was carried out for a geometry-optimized LiCuBIr structure.

extended XYZ file:
```
4
Lattice="0.000 2.739 2.739 2.739 0.000 2.739 2.739 2.739 0.000" Properties=species:S:1:pos:R:3 pbc="T T T"
Li 0.000 0.000 0.000
Cu 4.108 4.108 4.108
B 2.739 2.739 2.739
Ir 1.369 1.369 1.369
```

## Properties
- ΔE to the lowest computed polymorph: 0.0 kJ per mole of atoms

=====

# 5
A plane-wave DFT calculation with GGA-PBE was carried out for a geometry-optimized KPbAu3S4 structure.

extended XYZ file:
```
9
Lattice="6.426 0.000 0.000 0.000 6.426 0.000 0.000 0.000 6.426" Properties=species:S:1:pos:R:3 pbc="T T T"
K 0.000 0.000 0.000
Pb 3.213 3.213 3.213
Au 0.000 3.213 3.213
Au 3.213 0.000 3.213
Au 3.213 3.213 0.000
S 1.768 1.768 1.768
S 1.768 4.658 4.658
S 4.658 1.768 4.658
S 4.658 4.658 1.768
```

## Properties
- DFT total energy: -3.406 eV per atom

=====

# 6
A plane-wave DFT calculation with GGA-PBE was carried out for a geometry-optimized ZrIr2Pd structure.

extended XYZ file:
```
4
Lattice="0.000 3.210 3.210 3.210 0.000 3.210 3.210 3.210 0.000" Properties=species:S:1:pos:R:3 pbc="T T T"
Zr 0.000 0.000 0.000
Ir 1.605 1.605 1.605
Ir 3.210 3.210 3.210
Pd 4.814 4.814 4.814
```

## Properties
- DFT total energy: -8.115 eV per atom

=====

# 7
A plane-wave DFT calculation with GGA-PBE was carried out for a geometry-optimized ScZn structure.

extended XYZ file:
```
10
Lattice="4.863 0.000 0.000 0.000 7.561 2.577 0.000 -7.561 2.577" Properties=species:S:1:pos:R:3 pbc="T T T"
Sc 0.000 0.000 0.000
Sc 0.000 -1.600 2.683
Sc 0.000 1.600 2.683
Sc 2.432 -1.652 0.706
Sc 2.432 1.652 0.706
Zn 0.000 -4.523 2.548
Zn 0.000 4.523 2.548
Zn 2.432 -3.022 3.377
Zn 2.432 0.000 3.319
Zn 2.432 3.022 3.377
```

## Properties
- DFT total energy: -3.945 eV per atom

=====

# 8
A plane-wave DFT calculation with GGA-PBE was carried out for a geometry-optimized SmZr2 structure.

extended XYZ file:
```
6
Lattice="0.000 5.899 5.899 5.899 0.000 5.899 5.899 5.899 0.000" Properties=species:S:1:pos:R:3 pbc="T T T"
Sm 1.475 1.475 1.475
Sm 10.324 10.324 10.324
Zr 0.000 0.000 0.000
Zr 2.950 2.950 0.000
Zr 2.950 0.000 2.950
Zr 0.000 2.950 2.950
```

## Properties
- ΔE to the lowest computed polymorph: 299.7 kJ per mole of atoms

=====

# 9
A plane-wave DFT calculation with GGA-PBE was carried out for a geometry-optimized TmHfSnC structure.

extended XYZ file:
```
8
Lattice="3.442 0.000 0.000 -1.721 2.981 0.000 0.000 0.000 15.040" Properties=species:S:1:pos:R:3 pbc="T T T"
Tm 0.000 1.987 6.199
Tm 1.721 0.994 8.841
Hf 0.000 1.987 1.199
Hf 1.721 0.994 13.841
Sn 0.000 1.987 11.457
Sn 1.721 0.994 3.583
C 0.000 0.000 0.000
C 0.000 0.000 7.520
```

## Properties
- ΔE to the lowest computed polymorph: 3.9 kJ per mole of atoms

=====

# 10
A plane-wave DFT calculation with GGA-PBE was carried out for a geometry-optimized ZrInCuPd structure.

extended XYZ file:
```
8
Lattice="4.612 0.000 0.000 0.000 4.612 0.000 0.000 0.000 6.580" Properties=species:S:1:pos:R:3 pbc="T T T"
Zr 0.000 2.306 1.643
Zr 2.306 0.000 4.937
In 0.000 2.306 4.928
In 2.306 0.000 1.651
Cu 0.000 0.000 0.000
Cu 2.306 2.306 3.290
Pd 0.000 0.000 3.290
Pd 2.306 2.306 0.000
```

## Properties
- DFT total energy: -5.526 eV per atom

=====

# 11
A plane-wave DFT calculation with GGA-PBE was carried out for a geometry-optimized HoIrNO structure.

extended XYZ file:
```
8
Lattice="3.807 0.000 0.000 0.000 5.593 0.000 0.000 0.000 4.877" Properties=species:S:1:pos:R:3 pbc="T T T"
Ho 0.000 1.248 0.000
Ho 0.000 4.345 2.439
Ir 1.904 1.989 2.453
Ir 1.904 3.605 0.015
N 0.000 1.850 2.370
N 0.000 3.744 4.809
O 1.904 0.468 3.868
O 1.904 5.125 1.429
```

## Properties
- ΔE to the lowest computed polymorph: 36.3 kJ per mole of atoms

=====

# 12
A plane-wave DFT calculation with GGA-PBE was carried out for a geometry-optimized TbCd2Ga structure.

extended XYZ file:
```
8
Lattice="4.837 0.000 0.000 0.000 5.558 3.291 0.000 -5.558 3.291" Properties=species:S:1:pos:R:3 pbc="T T T"
Tb 1.209 -3.753 3.291
Tb 3.628 3.753 3.291
Cd 1.209 1.757 3.224
Cd 1.209 -0.912 4.811
Cd 3.628 -1.757 3.224
Cd 3.628 0.912 4.811
Ga 1.209 -0.915 1.622
Ga 3.628 0.915 1.622
```

## Properties
- ΔE to the lowest computed polymorph: 2.0 kJ per mole of atoms

=====

# 13
A plane-wave DFT calculation with GGA-PBE was carried out for a geometry-optimized Na2TaTl structure.

extended XYZ file:
```
4
Lattice="0.000 3.553 3.553 3.553 0.000 3.553 3.553 3.553 0.000" Properties=species:S:1:pos:R:3 pbc="T T T"
Na 0.000 0.000 0.000
Na 1.777 1.777 1.777
Ta 5.330 5.330 5.330
Tl 3.553 3.553 3.553
```

## Properties
- DFT total energy: -3.341 eV per atom

=====

# 14
A plane-wave DFT calculation with GGA-PBE was carried out for a geometry-optimized DyTaGe structure.

extended XYZ file:
```
3
Lattice="0.000 3.233 3.233 3.233 0.000 3.233 3.233 3.233 0.000" Properties=species:S:1:pos:R:3 pbc="T T T"
Dy 0.000 0.000 0.000
Ta 3.233 3.233 3.233
Ge 1.617 1.617 1.617
```

## Properties
- DFT total energy: -6.948 eV per atom

=====

# 15
A plane-wave DFT calculation with GGA-PBE was carried out for a geometry-optimized Gd2Sn2Ir structure.

extended XYZ file:
```
10
Lattice="5.517 -2.259 0.000 5.517 2.259 0.000 -4.840 0.000 9.883" Properties=species:S:1:pos:R:3 pbc="T T T"
Gd -0.809 0.000 1.698
Gd -0.974 0.000 6.208
Gd 7.169 0.000 3.675
Gd 7.004 0.000 8.185
Sn -0.807 0.000 9.411
Sn 2.208 0.000 6.095
Sn 3.987 0.000 3.788
Sn 7.002 0.000 0.472
Ir 2.197 0.000 1.724
Ir 3.998 0.000 8.159
```

## Properties
- DFT total energy: -6.028 eV per atom

=====

# 16
A plane-wave DFT calculation with GGA-PBE was carried out for a geometry-optimized K2CoAsBr6 structure.

extended XYZ file:
```
10
Lattice="0.000 5.281 5.281 5.281 0.000 5.281 5.281 5.281 0.000" Properties=species:S:1:pos:R:3 pbc="T T T"
K 2.641 2.641 2.641
K 7.922 7.922 7.922
Co 0.000 0.000 0.000
As 5.281 5.281 5.281
Br 5.281 5.281 2.582
Br 5.281 2.582 5.281
Br 7.980 5.281 5.281
Br 2.582 5.281 5.281
Br 5.281 7.980 5.281
Br 5.281 5.281 7.980
```

## Properties
- DFT total energy: -3.176 eV per atom

=====

# 17
A plane-wave DFT calculation with GGA-PBE was carried out for a geometry-optimized NpTaCo structure.

extended XYZ file:
```
3
Lattice="0.000 3.027 3.027 3.027 0.000 3.027 3.027 3.027 0.000" Properties=species:S:1:pos:R:3 pbc="T T T"
Np 0.000 0.000 0.000
Ta 3.027 3.027 3.027
Co 1.513 1.513 1.513
```

## Properties
- ΔE to the lowest computed polymorph: 0.0 kJ per mole of atoms

=====

# 18
A plane-wave DFT calculation with GGA-PBE was carried out for a geometry-optimized NbCo2Bi structure.

extended XYZ file:
```
4
Lattice="0.000 3.160 3.160 3.160 0.000 3.160 3.160 3.160 0.000" Properties=species:S:1:pos:R:3 pbc="T T T"
Nb 0.000 0.000 0.000
Co 1.580 1.580 1.580
Co 3.160 3.160 3.160
Bi 4.740 4.740 4.740
```

## Properties
- DFT total energy: -6.580 eV per atom

=====

# 19
A plane-wave DFT calculation with GGA-PBE was carried out for a geometry-optimized SmTeNO structure.

extended XYZ file:
```
16
Lattice="6.425 0.000 0.000 0.000 7.118 0.000 0.000 0.000 6.491" Properties=species:S:1:pos:R:3 pbc="T T T"
Sm 0.630 1.383 0.000
Sm 2.582 1.383 3.245
Sm 3.843 5.735 0.000
Sm 5.795 5.735 3.245
Te 0.554 5.193 6.241
Te 2.659 5.193 2.996
Te 3.766 1.925 6.241
Te 5.872 1.925 2.996
N 0.481 0.661 4.226
N 2.732 0.661 0.980
N 3.693 6.457 4.226
N 5.945 6.457 0.980
O 0.456 3.519 0.735
O 2.757 3.519 3.980
O 3.669 3.599 0.735
O 5.969 3.599 3.980
```

## Properties
- ΔE to the lowest computed polymorph: 37.1 kJ per mole of atoms

=====

# 20
A plane-wave DFT calculation with GGA-PBE was carried out for a geometry-optimized GdCdCuSe3 structure.

extended XYZ file:
```
12
Lattice="1.969 -6.497 0.000 1.969 6.497 0.000 0.000 0.000 10.679" Properties=species:S:1:pos:R:3 pbc="T T T"
Gd 0.000 0.000 0.000
Gd 0.000 0.000 5.340
Cd 1.969 3.439 8.009
Cd 1.969 -3.439 2.670
Cu 1.969 0.331 2.670
Cu 1.969 -0.331 8.009
Se 1.969 5.244 2.670
Se 1.969 1.921 0.816
Se 1.969 1.921 4.524
Se 1.969 -1.921 6.155
Se 1.969 -1.921 9.863
Se 1.969 -5.244 8.009
```

## Properties
- DFT total energy: -4.201 eV per atom

=====

# 21
A plane-wave DFT calculation with GGA-PBE was carried out for a geometry-optimized ZrNbCu2 structure.

extended XYZ file:
```
4
Lattice="0.000 3.210 3.210 3.210 0.000 3.210 3.210 3.210 0.000" Properties=species:S:1:pos:R:3 pbc="T T T"
Zr 0.000 0.000 0.000
Nb 4.816 4.816 4.816
Cu 1.605 1.605 1.605
Cu 3.210 3.210 3.210
```

## Properties
- DFT total energy: -6.158 eV per atom

=====

# 22
A plane-wave DFT calculation with GGA-PBE was carried out for a geometry-optimized ZrInCuTe3 structure.

extended XYZ file:
```
24
Lattice="8.384 0.000 0.000 0.000 4.358 0.000 0.000 0.000 17.505" Properties=species:S:1:pos:R:3 pbc="T T T"
Zr 2.035 1.090 0.841
Zr 2.157 3.269 9.594
Zr 6.226 1.090 7.911
Zr 6.349 3.269 16.664
In 0.994 1.090 14.087
In 3.198 3.269 5.334
In 5.186 1.090 12.171
In 7.390 3.269 3.418
Cu 0.135 3.269 11.759
Cu 4.057 1.090 3.006
Cu 4.327 3.269 14.499
Cu 8.249 1.090 5.746
Te 0.007 1.090 10.223
Te 1.018 3.269 16.600
Te 1.486 1.090 3.639
Te 2.706 3.269 12.392
Te 3.174 1.090 7.847
Te 4.185 3.269 1.471
Te 4.199 1.090 16.035
Te 5.210 3.269 9.658
Te 5.678 1.090 5.113
Te 6.898 3.269 13.866
Te 7.366 1.090 0.905
Te 8.377 3.269 7.282
```

## Properties
- DFT total energy: -4.499 eV per atom

=====

# 23
A plane-wave DFT calculation with GGA-PBE was carried out for a geometry-optimized Li2YW structure.

extended XYZ file:
```
4
Lattice="0.000 3.411 3.411 3.411 0.000 3.411 3.411 3.411 0.000" Properties=species:S:1:pos:R:3 pbc="T T T"
Li 0.000 0.000 0.000
Li 1.706 1.706 1.706
Y 5.117 5.117 5.117
W 3.411 3.411 3.411
```

## Properties
- DFT total energy: -4.996 eV per atom

=====

# 24
A plane-wave DFT calculation with GGA-PBE was carried out for a geometry-optimized CsHoNiS3 structure.

extended XYZ file:
```
24
Lattice="15.691 0.000 0.000 0.000 3.944 0.000 0.000 0.000 10.610" Properties=species:S:1:pos:R:3 pbc="T T T"
Cs 3.670 0.986 0.214
Cs 4.175 2.958 5.519
Cs 11.516 0.986 5.091
Cs 12.021 2.958 10.396
Ho 0.310 0.986 3.675
Ho 7.536 2.958 8.980
Ho 8.155 0.986 1.630
Ho 15.381 2.958 6.935
Ni 0.208 2.958 0.944
Ni 7.638 0.986 6.249
Ni 8.053 2.958 4.361
Ni 15.483 0.986 9.666
S 0.905 2.958 9.463
S 1.391 0.986 6.114
S 1.825 2.958 2.565
S 6.020 0.986 7.870
S 6.455 2.958 0.809
S 6.941 0.986 4.157
S 8.750 2.958 6.453
S 9.236 0.986 9.801
S 9.671 2.958 2.740
S 13.865 0.986 8.046
S 14.300 2.958 4.496
S 14.786 0.986 1.148
```

## Properties
- ΔE to the lowest computed polymorph: 0.2 kJ per mole of atoms